No. 1
{
  "formula": "AcTl2SnPb",
  "functional": "PBE",
  "state": "relaxed",
  "cell": [[-1.551, -2.169, 2.667], [-6.012, -1.776, -7.608], [5.623, -7.369, -2.723]],
  "species": ["Ac", "Ac", "Tl", "Tl", "Tl", "Tl", "Sn", "Sn", "Pb", "Pb"],
  "fractional_positions": [[0.413, 0.827, 0.750], [0.587, 0.173, 0.250], [0.166, 0.331, 0.941], [0.834, 0.669, 0.059], [0.166, 0.331, 0.559], [0.834, 0.669, 0.441], [0.757, 0.514, 0.750], [0.243, 0.486, 0.250], [0.000, 0.000, 0.000], [0.000, 0.000, 0.500]],
  "formation_energy_ev_per_atom": -0.1149
}



No. 2
{
  "formula": "La3Sm8Sc2",
  "functional": "PBE",
  "state": "relaxed",
  "cell": [[-5.505, 1.404, -0.469], [-0.778, -0.459, 7.761], [2.795, 9.887, -3.069]],
  "species": ["La", "La", "La", "Sm", "Sm", "Sm", "Sm", "Sm", "Sm", "Sm", "Sm", "Sc", "Sc"],
  "fractional_positions": [[0.500, 0.000, 0.000], [0.000, 0.295, 0.000], [0.000, 0.705, 0.000], [0.002, 0.683, 0.366], [0.998, 0.317, 0.634], [0.999, 0.136, 0.272], [0.001, 0.864, 0.728], [0.499, 0.593, 0.771], [0.499, 0.178, 0.771], [0.501, 0.822, 0.229], [0.501, 0.407, 0.229], [0.498, 0.240, 0.480], [0.502, 0.760, 0.520]],
  "formation_energy_ev_per_atom": 0.2347
}



No. 3
{
  "formula": "HoHg2Pd4",
  "functional": "PBE",
  "state": "relaxed",
  "cell": [[5.542, -1.098, 0.033], [-1.393, 7.480, -0.078], [-2.111, -3.134, 6.652]],
  "species": ["Ho", "Ho", "Hg", "Hg", "Hg", "Hg", "Pd", "Pd", "Pd", "Pd", "Pd", "Pd", "Pd", "Pd"],
  "fractional_positions": [[0.284, 0.729, 0.515], [0.020, 0.964, 0.985], [0.534, 0.474, 0.810], [0.758, 0.838, 0.297], [0.711, 0.292, 0.204], [0.974, 0.413, 0.689], [0.180, 0.282, 0.393], [0.306, 0.405, 0.103], [0.729, 0.629, 0.544], [0.697, 0.132, 0.815], [0.453, 0.052, 0.396], [0.131, 0.067, 0.686], [0.436, 0.835, 0.957], [0.037, 0.638, 0.106]],
  "formation_energy_ev_per_atom": -0.4178
}



No. 4
{
  "formula": "LaBeAl",
  "functional": "PBE",
  "state": "relaxed",
  "cell": [[9.217, 0.003, -0.039], [0.002, 3.793, 0.000], [0.785, 0.000, 3.696]],
  "species": ["Be", "Be", "Al", "Al", "La", "La"],
  "fractional_positions": [[0.801, 0.356, 0.539], [0.701, 0.856, 0.587], [0.641, 0.355, 0.119], [0.170, 0.354, 0.356], [0.956, 0.855, 0.962], [0.383, 0.854, 0.751]],
  "formation_energy_ev_per_atom": -0.0868,
  "de_polymorph_ev_per_atom": 0.110
}



No. 5
{
  "formula": "Ba2PmMg3H12",
  "functional": "PBE",
  "state": "relaxed",
  "cell": [[6.806, -0.074, -0.053], [3.297, 5.955, -0.053], [3.297, 1.919, 5.637]],
  "species": ["Ba", "Ba", "Pm", "Mg", "Mg", "Mg", "H", "H", "H", "H", "H", "H", "H", "H", "H", "H", "H", "H"],
  "fractional_positions": [[0.614, 0.614, 0.614], [0.386, 0.386, 0.386], [0.000, 0.000, 0.000], [0.500, 0.000, 0.000], [0.000, 0.500, 0.000], [0.000, 0.000, 0.500], [0.263, 0.263, 0.872], [0.866, 0.866, 0.416], [0.416, 0.866, 0.866], [0.872, 0.263, 0.263], [0.866, 0.416, 0.866], [0.263, 0.872, 0.263], [0.737, 0.737, 0.128], [0.134, 0.134, 0.584], [0.584, 0.134, 0.134], [0.128, 0.737, 0.737], [0.134, 0.584, 0.134], [0.737, 0.128, 0.737]],
  "final_energy_ev_per_atom": -3.29
}



No. 6
{
  "formula": "LiTcO2",
  "functional": "PBE",
  "state": "relaxed",
  "cell": [[0.000, 2.560, 2.560], [2.560, 0.000, 2.560], [2.560, 2.560, 0.000]],
  "species": ["Tc", "O", "O", "Li"],
  "fractional_positions": [[0.500, 0.500, 0.500], [0.250, 0.250, 0.250], [0.750, 0.750, 0.750], [0.000, 0.000, 0.000]],
  "de_polymorph_ev_per_atom": 0.393
}



No. 7
{
  "formula": "Ho3ErTm7",
  "functional": "PBE",
  "state": "relaxed",
  "cell": [[-7.564, 4.348, 0.258], [-1.514, -7.688, -5.918], [2.120, -3.301, 3.745]],
  "species": ["Ho", "Ho", "Ho", "Er", "Tm", "Tm", "Tm", "Tm", "Tm", "Tm", "Tm"],
  "fractional_positions": [[0.220, 0.999, 0.720], [0.000, 0.500, 0.000], [0.780, 0.001, 0.280], [0.500, 0.500, 0.500], [0.914, 0.831, 0.914], [0.820, 0.640, 0.320], [0.644, 0.291, 0.144], [0.356, 0.709, 0.856], [0.500, 0.000, 0.500], [0.180, 0.360, 0.680], [0.086, 0.169, 0.086]],
  "formation_energy_ev_per_atom": 0.1631,
  "de_polymorph_ev_per_atom": 0.000
}



No. 8
{
  "formula": "ScIr",
  "functional": "PBE",
  "state": "relaxed",
  "cell": [[-10.236, -5.466, 5.157], [8.480, -9.109, 7.179], [0.131, 1.991, 2.372]],
  "species": ["Sc", "Sc", "Sc", "Sc", "Sc", "Sc", "Sc", "Sc", "Sc", "Sc", "Sc", "Sc", "Sc", "Sc", "Sc", "Sc", "Ir", "Ir", "Ir", "Ir", "Ir", "Ir", "Ir", "Ir", "Ir", "Ir", "Ir", "Ir", "Ir", "Ir", "Ir", "Ir"],
  "fractional_positions": [[0.131, 0.000, 0.000], [0.869, 0.000, 0.000], [0.119, 0.750, 0.250], [0.381, 0.750, 0.250], [0.131, 0.500, 0.500], [0.869, 0.500, 0.500], [0.119, 0.250, 0.750], [0.381, 0.250, 0.750], [0.631, 0.000, 0.500], [0.369, 0.000, 0.500], [0.619, 0.750, 0.750], [0.881, 0.750, 0.750], [0.631, 0.500, 0.000], [0.369, 0.500, 0.000], [0.619, 0.250, 0.250], [0.881, 0.250, 0.250], [0.000, 0.609, 0.000], [0.000, 0.391, 0.000], [0.250, 0.141, 0.250], [0.250, 0.359, 0.250], [0.000, 0.109, 0.500], [0.000, 0.891, 0.500], [0.250, 0.641, 0.750], [0.250, 0.859, 0.750], [0.500, 0.609, 0.500], [0.500, 0.391, 0.500], [0.750, 0.141, 0.750], [0.750, 0.359, 0.750], [0.500, 0.109, 0.000], [0.500, 0.891, 0.000], [0.750, 0.641, 0.250], [0.750, 0.859, 0.250]],
  "formation_energy_ev_per_atom": -0.7248
}



No. 9
{
  "formula": "SrZrOs2",
  "functional": "PBE",
  "state": "relaxed",
  "cell": [[0.000, 3.396, 3.396], [3.396, 0.000, 3.396], [3.396, 3.396, 0.000]],
  "species": ["Sr", "Os", "Os", "Zr"],
  "fractional_positions": [[0.000, 0.000, 0.000], [0.250, 0.250, 0.250], [0.750, 0.750, 0.750], [0.500, 0.500, 0.500]],
  "formation_energy_ev_per_atom": 0.5105,
  "de_polymorph_ev_per_atom": 0.225
}



No. 10
{
  "formula": "MgBe2B",
  "functional": "PBE",
  "state": "relaxed",
  "cell": [[3.321, 0.000, 0.000], [-1.661, 2.876, 0.000], [0.000, 0.000, 13.895]],
  "species": ["Be", "Be", "Be", "Be", "Be", "Be", "Mg", "Mg", "Mg", "B", "B", "B"],
  "fractional_positions": [[0.000, 0.000, 0.191], [0.000, 0.000, 0.809], [0.333, 0.667, 0.858], [0.333, 0.667, 0.476], [0.667, 0.333, 0.524], [0.667, 0.333, 0.142], [0.000, 0.000, 0.000], [0.333, 0.667, 0.667], [0.667, 0.333, 0.333], [0.000, 0.000, 0.500], [0.333, 0.667, 0.167], [0.667, 0.333, 0.833]],
  "formation_energy_ev_per_atom": 0.0759,
  "de_polymorph_ev_per_atom": 0.057
}



No. 11
{
  "formula": "U2Tc4Ge",
  "functional": "PBE",
  "state": "relaxed",
  "cell": [[0.627, -5.249, 1.489], [5.298, 1.099, -0.937], [0.904, 2.335, 7.849]],
  "species": ["U", "U", "U", "U", "Tc", "Tc", "Tc", "Tc", "Tc", "Tc", "Tc", "Tc", "Ge", "Ge"],
  "fractional_positions": [[0.207, 0.793, 0.000], [0.793, 0.207, 0.000], [0.207, 0.793, 0.500], [0.793, 0.207, 0.500], [0.729, 0.730, 0.000], [0.271, 0.270, 0.000], [0.270, 0.271, 0.500], [0.730, 0.729, 0.500], [0.500, 0.000, 0.250], [0.000, 0.500, 0.250], [0.500, 0.000, 0.750], [0.000, 0.500, 0.750], [0.500, 0.500, 0.250], [0.500, 0.500, 0.750]],
  "formation_energy_ev_per_atom": -0.0820
}



No. 12
{
  "formula": "Ac2As4Rh3Au",
  "functional": "PBE",
  "state": "relaxed",
  "cell": [[-0.167, 4.039, 1.997], [-4.462, -0.426, 0.488], [1.394, -4.361, 8.938]],
  "species": ["Ac", "Ac", "As", "As", "As", "As", "Rh", "Rh", "Rh", "Au"],
  "fractional_positions": [[0.500, 0.000, 0.245], [0.000, 0.500, 0.755], [0.500, 0.500, 0.000], [0.000, 0.000, 0.000], [0.500, 0.000, 0.641], [0.000, 0.500, 0.359], [0.000, 0.000, 0.500], [0.500, 0.000, 0.889], [0.000, 0.500, 0.111], [0.500, 0.500, 0.500]],
  "formation_energy_ev_per_atom": -0.8533
}



Number 1: V 35.25 Å³ per atom. Number 2: V 34.22 Å³ per atom. Number 3: V 18.91 Å³ per atom. Number 4: V 21.55 Å³ per atom. Number 5: V 12.85 Å³ per atom. Number 6: V 8.38 Å³ per atom. Number 7: V 31.02 Å³ per atom. Number 8: V 17.67 Å³ per atom. Number 9: V 19.59 Å³ per atom. Number 10: V 11.06 Å³ per atom. Number 11: V 17.60 Å³ per atom. Number 12: V 20.42 Å³ per atom.